(1)
Tm5Tl2Bi | GGA-PBE | optimized geometry

a = 8.339 Å, b = 8.339 Å, c = 8.762 Å
α = 118.42°, β = 118.42°, γ = 90.00°
Positions (direct):
Tm 0.499 0.700 0.700
Tm 0.800 0.001 0.300
Tm 0.000 0.000 0.000
Tm 0.500 0.500 0.000
Tm 0.200 0.999 0.700
Tm 0.700 0.200 0.700
Tm 0.999 0.499 0.700
Tm 0.300 0.800 0.300
Tm 0.001 0.501 0.300
Tm 0.501 0.300 0.300
Tl 0.151 0.349 0.000
Tl 0.651 0.151 0.000
Tl 0.349 0.849 0.000
Tl 0.849 0.651 0.000
Bi 0.750 0.750 0.500
Bi 0.250 0.250 0.500

- E (eV per atom) = -4.248
- SG = No. 140

(2)
Rb2CeDyS4 | GGA-PBE | optimized geometry

a = 4.166 Å, b = 7.218 Å, c = 8.047 Å
α = 107.35°, β = 90.00°, γ = 90.00°
Last column: magnetic moment on the atom in μB.
Positions (direct):
Rb 0.500 0.000 0.500  0.00
Rb 0.000 0.500 0.500  0.00
Ce 0.500 0.500 0.000  0.94
Dy 0.000 0.000 0.000  0.02
S 0.500 0.223 0.192  -0.01
S 0.500 0.777 0.808  -0.01
S 0.000 0.261 0.805  -0.01
S 0.000 0.739 0.195  -0.01

- SG = No. 10
- energy relative to the elements, uncorrected (eV/atom) = -1.803

(3)
CoCuSn2 | GGA-PBE | optimized geometry

a = 3.215 Å, b = 3.215 Å, c = 9.026 Å
α = 79.74°, β = 79.74°, γ = 60.00°
Last column: magnetic moment on the atom in μB.
Positions (direct):
Co 0.500 0.500 0.500  0.89
Sn 0.096 0.096 0.713  -0.02
Sn 0.904 0.904 0.287  -0.02
Cu 0.000 0.000 0.000  0.01

- E (eV per atom) = -4.539
- SG = No. 166

(4)
Dy3ErSe6 | GGA-PBE | optimized geometry

a = 8.375 Å, b = 8.375 Å, c = 8.375 Å
α = 90.93°, β = 90.93°, γ = 90.93°
Positions (direct):
Dy 0.430 0.921 0.754
Dy 0.921 0.754 0.430
Dy 0.246 0.570 0.079
Dy 0.754 0.430 0.921
Dy 0.079 0.246 0.570
Dy 0.570 0.079 0.246
Er 0.000 0.000 0.000
Er 0.500 0.500 0.500
Se 0.314 0.911 0.085
Se 0.089 0.915 0.686
Se 0.592 0.819 0.462
Se 0.915 0.686 0.089
Se 0.462 0.592 0.819
Se 0.181 0.538 0.408
Se 0.819 0.462 0.592
Se 0.538 0.408 0.181
Se 0.085 0.314 0.911
Se 0.408 0.181 0.538
Se 0.911 0.085 0.314
Se 0.686 0.089 0.915

- SG = No. 148
- energy relative to the elements, uncorrected (eV/atom) = -1.845

(5)
CsCaHgSb2 | GGA-PBE | optimized geometry

a = 5.835 Å, b = 7.249 Å, c = 5.835 Å
α = 90.00°, β = 90.00°, γ = 90.00°
Positions (direct):
Cs 0.000 0.500 0.000
Sb 0.000 0.000 0.500
Sb 0.500 0.000 0.000
Ca 0.000 0.000 0.000
Hg 0.500 0.500 0.500

- SG = No. 123
- energy relative to the elements, uncorrected (eV/atom) = 0.050

(6)
SmMgAl2Cu4 | GGA-PBE | optimized geometry

a = 4.242 Å, b = 4.242 Å, c = 8.915 Å
α = 76.24°, β = 76.24°, γ = 60.00°
Positions (direct):
Sm 0.000 0.000 0.000
Mg 0.500 0.500 0.500
Al 0.758 0.758 0.727
Al 0.242 0.242 0.273
Cu 0.402 0.402 0.794
Cu 0.880 0.880 0.360
Cu 0.120 0.120 0.640
Cu 0.598 0.598 0.206

- E (eV per atom) = -4.017
- SG = No. 166

(7)
TaMn2Re | GGA-PBE | optimized geometry

a = 2.697 Å, b = 2.697 Å, c = 8.110 Å
α = 90.00°, β = 90.00°, γ = 106.21°
Last column: magnetic moment on the atom in μB.
Positions (direct):
Mn 0.000 0.000 0.009  1.73
Mn 0.000 0.000 0.491  1.73
Re 0.500 0.500 0.250  -0.21
Ta 0.500 0.500 0.750  -0.23

- E (eV per atom) = -10.557
- SG = No. 65

(8)
Be2MoSeN | GGA-PBE | optimized geometry

a = 4.641 Å, b = 3.788 Å, c = 4.641 Å
α = 90.00°, β = 90.00°, γ = 90.00°
Positions (direct):
Be 0.000 0.000 0.500
Be 0.500 0.000 0.000
Mo 0.000 0.000 0.000
Se 0.500 0.500 0.500
N 0.000 0.500 0.000

- SG = No. 123
- energy relative to the elements, uncorrected (eV/atom) = 0.995

(9)
MgIrI2 | GGA-PBE | optimized geometry

a = 5.117 Å, b = 5.117 Å, c = 5.117 Å
α = 60.00°, β = 60.00°, γ = 60.00°
Last column: magnetic moment on the atom in μB.
Positions (direct):
I 0.250 0.250 0.250  0.11
I 0.750 0.750 0.750  0.11
Mg 0.000 0.000 0.000  -0.01
Ir 0.500 0.500 0.500  0.89

- SG = No. 225
- energy relative to the elements, uncorrected (eV/atom) = 0.648

(10)
YAl4Hg | GGA-PBE | optimized geometry

a = 5.563 Å, b = 5.563 Å, c = 5.563 Å
α = 60.00°, β = 60.00°, γ = 60.00°
Positions (direct):
Y 0.000 0.000 0.000
Al 0.876 0.375 0.375
Al 0.375 0.375 0.876
Al 0.375 0.876 0.375
Al 0.375 0.375 0.375
Hg 0.750 0.750 0.750

- E (eV per atom) = -3.761
- SG = No. 216

(11)
V2HPtAu | GGA-PBE | optimized geometry

a = 3.858 Å, b = 3.858 Å, c = 4.164 Å
α = 90.00°, β = 90.00°, γ = 90.00°
Last column: magnetic moment on the atom in μB.
Positions (direct):
H 0.000 0.000 0.000  0.00
Au 0.000 0.000 0.500  0.02
Pt 0.500 0.500 0.500  0.05
V 0.000 0.500 0.000  0.22
V 0.500 0.000 0.000  0.22

- E (eV per atom) = -6.270
- SG = No. 123

(12)
BaSrCa2In4 | GGA-PBE | optimized geometry

a = 5.697 Å, b = 5.697 Å, c = 9.850 Å
α = 73.19°, β = 73.19°, γ = 60.00°
Positions (direct):
Ba 0.000 0.000 0.000
Sr 0.500 0.500 0.500
Ca 0.751 0.751 0.748
Ca 0.249 0.249 0.252
In 0.377 0.377 0.870
In 0.873 0.873 0.381
In 0.127 0.127 0.619
In 0.623 0.623 0.130

- E (eV per atom) = -2.744
- SG = No. 166